[1]
A plane-wave DFT calculation with PBE-GGA was carried out for a geometry-optimized UAl2Co structure.

Unit cell a=2.790 b=2.790 c=7.795 alpha=90.00 beta=90.00 gamma=90.00
Fractional coordinates of all 4 atoms:
U 0.000 0.000 0.000
Al 0.500 0.500 0.311
Al 0.500 0.500 0.689
Co 0.000 0.000 0.500

Calculated values
The calculation puts the final energy at -6.802 eV/atom. The calculation puts the energy of formation from the pure elements at -128 kJ/mol of formula units. The volume is 61 Å³/cell. As for the density of states at the Fermi level: 4.8 states/eV/f.u. The size of the total moment comes out at 1.0 μB per formula unit.

[2]
A plane-wave DFT calculation with PBE-GGA was carried out for a geometry-optimized MoAs structure.

Unit cell a=4.019 b=4.019 c=6.653 alpha=90.00 beta=90.00 gamma=120.00
Fractional coordinates of all 4 atoms:
Mo 0.333 0.667 0.000
Mo 0.667 0.333 0.500
As 0.333 0.667 0.629
As 0.667 0.333 0.129

Calculated values
The calculation puts the final energy at -7.066 eV/atom. The calculation puts the energy of formation from the pure elements at 130 kJ/mol of formula units. The volume is 93 Å³/cell. As for the density of states at the Fermi level: 2.5 states/eV/f.u. The size of the total moment comes out at 1.4 μB per formula unit.